(1)
The following is a DFT calculation (GGA+U) of a relaxed structure of Li2Ti3CoO8.

Its volume is 10.8 Å³ per atom. Its energy is -107.615 eV/cell. Its magnetization is 3.000 μB/f.u. As for the space group: R-3m.

The structure in POSCAR format:
```
Li2Ti3CoO8
1.0
5.967 0.038 0.027
2.937 5.194 0.027
2.937 1.726 4.899
Li Ti Co O
2 3 1 8
Direct
0.121 0.121 0.121 Li
0.879 0.879 0.879 Li
0.500 0.000 0.500 Ti
0.000 0.500 0.500 Ti
0.500 0.500 0.000 Ti
0.500 0.500 0.500 Co
0.261 0.261 0.261 O
0.254 0.254 0.711 O
0.711 0.254 0.254 O
0.254 0.711 0.254 O
0.746 0.289 0.746 O
0.289 0.746 0.746 O
0.746 0.746 0.289 O
0.739 0.739 0.739 O
```


(2)
The following is a DFT calculation (GGA+U) of a relaxed structure of Li2Ti3CoO8.

Its volume is 10.7 Å³ per atom. Its energy is -108.173 eV/cell. Its magnetization is 3.004 μB/f.u. As for the space group: R3m.

The structure in POSCAR format:
```
Li2Ti3CoO8
1.0
-3.994 -1.553 -4.134
1.781 -2.919 -4.874
-1.446 -5.734 -0.699
Li Ti Co O
2 3 1 8
Direct
0.882 0.882 0.882 Li
0.499 0.499 0.499 Li
0.993 0.502 0.502 Ti
0.502 0.993 0.502 Ti
0.502 0.502 0.993 Ti
0.117 0.117 0.117 Co
0.741 0.741 0.741 O
0.258 0.258 0.258 O
0.749 0.749 0.291 O
0.749 0.291 0.749 O
0.291 0.749 0.749 O
0.713 0.253 0.253 O
0.253 0.713 0.253 O
0.253 0.253 0.713 O
```


- The lowest magnetization belongs to which entry?
  number 1